A plane-wave DFT calculation with GGA+U was carried out for a relaxed Be2NiRuO crystal.

Geometry as extended XYZ:
```
5
Lattice="4.102 0.000 0.000 0.000 4.521 0.000 0.000 0.000 4.102" Properties=species:S:1:pos:R:3 pbc="T T T"
Ru 0.000 0.000 0.000
Be 0.000 0.000 2.051
Be 2.051 0.000 0.000
O 2.051 2.260 2.051
Ni 0.000 2.260 0.000
```

## Properties
- D(E_F) (states/eV/f.u.) = 1.69
- symmetry = P4/mmm
- electronic total energy (eV/atom) = -3.324
- mass density (Mg/m³) = 4.23